# 1
Below is an optimized crystal structure of YBeZnAu, with properties calculated at the GGA-PBE level.

Space group: F-43m, No. 216
Magnetization: 0.000 μB per atom

Cell lengths 4.570, 4.570, 4.570 Å; angles 60.00, 60.00, 60.00 degrees
Atoms (fractional coordinates):
1 Au 0.750 0.750 0.750
2 Be 0.500 0.500 0.500
3 Y 0.250 0.250 0.250
4 Zn 0.000 0.000 0.000

# 2
Below is an optimized crystal structure of Be2ZnAu2, with properties calculated at the GGA-PBE level.

Space group: I4/mmm, No. 139

Cell lengths 6.660, 6.660, 6.660 Å; angles 150.97, 150.97, 41.51 degrees
Atoms (fractional coordinates):
1 Au 0.384 0.384 0.000
2 Au 0.616 0.616 0.000
3 Be 0.750 0.250 0.500
4 Be 0.250 0.750 0.500
5 Zn 0.000 0.000 0.000

# 3
Below is an optimized crystal structure of BeZnAu2, with properties calculated at the GGA-PBE level.

Space group: P4/mmm, No. 123

Cell lengths 2.969, 2.969, 6.643 Å; angles 90.00, 90.00, 90.00 degrees
Atoms (fractional coordinates):
1 Au 0.500 0.500 0.281
2 Au 0.500 0.500 0.719
3 Be 0.000 0.000 0.500
4 Zn 0.000 0.000 0.000

# 4
Below is an optimized crystal structure of BeZnAu2, with properties calculated at the GGA-PBE level.

Space group: F-43m, No. 216

Cell lengths 4.430, 4.430, 4.430 Å; angles 60.00, 60.00, 60.00 degrees
Atoms (fractional coordinates):
1 Au 0.000 0.000 0.000
2 Au 0.750 0.750 0.750
3 Be 0.500 0.500 0.500
4 Zn 0.250 0.250 0.250

# 5
Below is an optimized crystal structure of BeZn2Au, with properties calculated at the GGA-PBE level.

Space group: F-43m, No. 216

Cell lengths 4.275, 4.275, 4.275 Å; angles 60.00, 60.00, 60.00 degrees
Atoms (fractional coordinates):
1 Au 0.250 0.250 0.250
2 Be 0.500 0.500 0.500
3 Zn 0.000 0.000 0.000
4 Zn 0.750 0.750 0.750

# 6
Below is an optimized crystal structure of Be2ZnAu, with properties calculated at the GGA-PBE level.

Space group: F-43m, No. 216

Cell lengths 4.145, 4.145, 4.145 Å; angles 60.00, 60.00, 60.00 degrees
Atoms (fractional coordinates):
1 Au 0.750 0.750 0.750
2 Be 0.000 0.000 0.000
3 Be 0.250 0.250 0.250
4 Zn 0.500 0.500 0.500

# 7
Below is an optimized crystal structure of ZrBeAu2, with properties calculated at the GGA-PBE level.

Space group: F-43m, No. 216
Magnetization: 0.001 μB per atom

Cell lengths 4.569, 4.569, 4.569 Å; angles 60.00, 60.00, 60.00 degrees
Atoms (fractional coordinates):
1 Au 0.000 0.000 0.000
2 Au 0.750 0.750 0.750
3 Be 0.500 0.500 0.500
4 Zr 0.250 0.250 0.250

# 8
Below is an optimized crystal structure of ZrBeAu, with properties calculated at the GGA-PBE level.

Space group: F-43m, No. 216
Magnetization: 0.001 μB per atom

Cell lengths 4.187, 4.187, 4.187 Å; angles 60.00, 60.00, 60.00 degrees
Atoms (fractional coordinates):
1 Au 0.250 0.250 0.250
2 Be 0.000 0.000 0.000
3 Zr 0.750 0.750 0.750

# 9
Below is an optimized crystal structure of ZrBeAu4, with properties calculated at the GGA-PBE level.

Space group: P4/mmm, No. 123
Magnetization: 0.001 μB per atom

Cell lengths 3.067, 3.067, 10.809 Å; angles 90.00, 90.00, 90.00 degrees
Atoms (fractional coordinates):
1 Au 0.000 0.000 0.183
2 Au 0.500 0.500 0.371
3 Au 0.500 0.500 0.629
4 Au 0.000 0.000 0.817
5 Be 0.000 0.000 0.500
6 Zr 0.500 0.500 0.000

# 10
Below is an optimized crystal structure of ZrBeAu, with properties calculated at the GGA-PBE level.

Space group: F-43m, No. 216
Magnetization: 0.002 μB per atom

Cell lengths 4.430, 4.430, 4.430 Å; angles 60.00, 60.00, 60.00 degrees
Atoms (fractional coordinates):
1 Au 0.250 0.250 0.250
2 Be 0.750 0.750 0.750
3 Zr 0.000 0.000 0.000

# 11
Below is an optimized crystal structure of BiAu7, with properties calculated at the GGA-PBE level.

Space group: P4/nmm, No. 129

Cell lengths 3.060, 3.060, 43.678 Å; angles 90.00, 90.00, 90.00 degrees
Atoms (fractional coordinates):
1 Au 0.000 0.000 0.210
2 Au 0.500 0.500 0.256
3 Au 0.000 0.000 0.301
4 Au 0.500 0.500 0.345
5 Au 0.000 0.000 0.390
6 Au 0.500 0.500 0.434
7 Au 0.000 0.000 0.478
8 Au 0.500 0.500 0.522
9 Au 0.000 0.000 0.566
10 Au 0.500 0.500 0.610
11 Au 0.000 0.000 0.655
12 Au 0.500 0.500 0.699
13 Au 0.000 0.000 0.744
14 Au 0.500 0.500 0.790
15 Bi 0.500 0.500 0.157
16 Bi 0.000 0.000 0.843

# 12
Below is an optimized crystal structure of BiAu9, with properties calculated at the GGA-PBE level.

Space group: Pmmn, No. 59

Cell lengths 3.087, 4.032, 43.421 Å; angles 90.00, 90.00, 90.00 degrees
Atoms (fractional coordinates):
1 Au 0.000 0.000 0.017
2 Au 0.500 0.500 0.050
3 Au 0.000 0.000 0.083
4 Au 0.500 0.500 0.117
5 Au 0.000 0.000 0.150
6 Au 0.500 0.500 0.184
7 Au 0.000 0.000 0.218
8 Au 0.500 0.500 0.252
9 Au 0.000 0.000 0.287
10 Au 0.500 0.500 0.713
11 Au 0.000 0.000 0.748
12 Au 0.500 0.500 0.782
13 Au 0.000 0.000 0.816
14 Au 0.500 0.500 0.850
15 Au 0.000 0.000 0.883
16 Au 0.500 0.500 0.917
17 Au 0.000 0.000 0.950
18 Au 0.500 0.500 0.983
19 Bi 0.500 0.500 0.325
20 Bi 0.000 0.000 0.675

# 13
Below is an optimized crystal structure of BiAu9, with properties calculated at the GGA-PBE level.

Space group: P4/nmm, No. 129

Cell lengths 3.076, 3.076, 51.454 Å; angles 90.00, 90.00, 90.00 degrees
Atoms (fractional coordinates):
1 Au 0.500 0.000 0.182
2 Au 0.000 0.500 0.220
3 Au 0.500 0.000 0.257
4 Au 0.000 0.500 0.295
5 Au 0.500 0.000 0.332
6 Au 0.000 0.500 0.369
7 Au 0.500 0.000 0.407
8 Au 0.000 0.500 0.444
9 Au 0.500 0.000 0.481
10 Au 0.000 0.500 0.519
11 Au 0.500 0.000 0.556
12 Au 0.000 0.500 0.593
13 Au 0.500 0.000 0.631
14 Au 0.000 0.500 0.668
15 Au 0.500 0.000 0.705
16 Au 0.000 0.500 0.743
17 Au 0.500 0.000 0.780
18 Au 0.000 0.500 0.818
19 Bi 0.000 0.500 0.136
20 Bi 0.500 0.000 0.864

# 14
Below is an optimized crystal structure of BiAu15, with properties calculated at the GGA-PBE level.

Space group: P2_1/m, No. 11

Cell lengths 8.051, 3.003, 35.100 Å; angles 90.00, 90.16, 90.00 degrees
Atoms (fractional coordinates):
1 Au 0.373 0.500 0.183
2 Au 0.121 0.000 0.221
3 Au 0.625 0.000 0.221
4 Au 0.873 0.500 0.265
5 Au 0.373 0.500 0.267
6 Au 0.624 0.000 0.308
7 Au 0.122 0.000 0.308
8 Au 0.873 0.500 0.350
9 Au 0.373 0.500 0.351
10 Au 0.624 0.000 0.393
11 Au 0.123 0.000 0.393
12 Au 0.874 0.500 0.436
13 Au 0.374 0.500 0.436
14 Au 0.625 0.000 0.479
15 Au 0.125 0.000 0.479
16 Au 0.875 0.500 0.521
17 Au 0.375 0.500 0.521
18 Au 0.626 0.000 0.564
19 Au 0.126 0.000 0.564
20 Au 0.877 0.500 0.607
21 Au 0.376 0.500 0.607
22 Au 0.627 0.000 0.649
23 Au 0.127 0.000 0.650
24 Au 0.878 0.500 0.692
25 Au 0.376 0.500 0.692
26 Au 0.627 0.000 0.733
27 Au 0.127 0.000 0.735
28 Au 0.376 0.500 0.779
29 Au 0.879 0.500 0.779
30 Au 0.627 0.000 0.817
31 Bi 0.872 0.500 0.173
32 Bi 0.128 0.000 0.827

# 15
Below is an optimized crystal structure of Bi5Au3, with properties calculated at the GGA-PBE level.

Space group: C2/m, No. 12

Cell lengths 8.780, 8.780, 11.591 Å; angles 131.30, 131.30, 41.77 degrees
Atoms (fractional coordinates):
1 Au 0.842 0.842 0.001
2 Au 0.660 0.660 0.318
3 Au 0.747 0.253 0.500
4 Au 0.253 0.747 0.500
5 Au 0.340 0.340 0.682
6 Au 0.158 0.158 0.999
7 Bi 0.750 0.250 0.000
8 Bi 0.250 0.750 0.000
9 Bi 0.415 0.415 0.202
10 Bi 0.789 0.789 0.208
11 Bi 0.082 0.082 0.371
12 Bi 0.287 0.287 0.372
13 Bi 0.713 0.713 0.628
14 Bi 0.918 0.918 0.629
15 Bi 0.211 0.211 0.792
16 Bi 0.585 0.585 0.798

# 16
Below is an optimized crystal structure of BiAu15, with properties calculated at the GGA-PBE level.

Space group: P2/c, No. 13

Cell lengths 5.059, 35.717, 5.054 Å; angles 90.00, 109.12, 90.00 degrees
Atoms (fractional coordinates):
1 Au 0.500 0.226 0.250
2 Au 0.000 0.269 0.250
3 Au 0.500 0.312 0.250
4 Au 0.000 0.353 0.250
5 Au 0.500 0.396 0.250
6 Au 0.000 0.437 0.250
7 Au 0.500 0.479 0.250
8 Au 0.000 0.521 0.250
9 Au 0.500 0.563 0.250
10 Au 0.000 0.604 0.250
11 Au 0.500 0.645 0.250
12 Au 0.000 0.688 0.250
13 Au 0.500 0.728 0.250
14 Au 0.000 0.774 0.250
15 Au 0.500 0.812 0.250
16 Au 0.500 0.188 0.750
17 Au 0.000 0.226 0.750
18 Au 0.500 0.272 0.750
19 Au 0.000 0.312 0.750
20 Au 0.500 0.355 0.750
21 Au 0.000 0.396 0.750
22 Au 0.500 0.437 0.750
23 Au 0.000 0.479 0.750
24 Au 0.500 0.521 0.750
25 Au 0.000 0.563 0.750
26 Au 0.500 0.604 0.750
27 Au 0.000 0.647 0.750
28 Au 0.500 0.688 0.750
29 Au 0.000 0.731 0.750
30 Au 0.500 0.774 0.750
31 Bi 0.000 0.180 0.250
32 Bi 0.000 0.820 0.750

# 17
Below is an optimized crystal structure of BiAu15, with properties calculated at the GGA-PBE level.

Space group: Pmma, No. 51

Cell lengths 4.138, 4.156, 46.249 Å; angles 90.00, 90.00, 90.00 degrees
Atoms (fractional coordinates):
1 Au 0.500 0.500 0.163
2 Au 0.500 0.000 0.208
3 Au 0.000 0.500 0.208
4 Au 0.000 0.000 0.253
5 Au 0.500 0.500 0.254
6 Au 0.500 0.000 0.298
7 Au 0.000 0.500 0.299
8 Au 0.000 0.000 0.343
9 Au 0.500 0.500 0.343
10 Au 0.500 0.000 0.388
11 Au 0.000 0.500 0.388
12 Au 0.500 0.500 0.433
13 Au 0.000 0.000 0.433
14 Au 0.500 0.000 0.478
15 Au 0.000 0.500 0.478
16 Au 0.500 0.500 0.522
17 Au 0.000 0.000 0.522
18 Au 0.500 0.000 0.567
19 Au 0.000 0.500 0.567
20 Au 0.500 0.500 0.612
21 Au 0.000 0.000 0.612
22 Au 0.000 0.500 0.657
23 Au 0.500 0.000 0.657
24 Au 0.500 0.500 0.701
25 Au 0.000 0.000 0.702
26 Au 0.000 0.500 0.746
27 Au 0.500 0.000 0.747
28 Au 0.500 0.500 0.792
29 Au 0.000 0.000 0.792
30 Au 0.000 0.500 0.837
31 Bi 0.000 0.000 0.153
32 Bi 0.500 0.000 0.847

# 18
Below is an optimized crystal structure of BiAu10, with properties calculated at the GGA-PBE level.

Space group: C2/m, No. 12

Cell lengths 5.027, 5.027, 33.072 Å; angles 90.27, 90.27, 48.02 degrees
Atoms (fractional coordinates):
1 Au 0.133 0.133 0.220
2 Au 0.451 0.451 0.252
3 Au 0.754 0.754 0.282
4 Au 0.054 0.054 0.311
5 Au 0.355 0.355 0.341
6 Au 0.655 0.655 0.369
7 Au 0.955 0.955 0.399
8 Au 0.253 0.253 0.427
9 Au 0.553 0.553 0.456
10 Au 0.851 0.851 0.486
11 Au 0.149 0.149 0.514
12 Au 0.447 0.447 0.544
13 Au 0.747 0.747 0.573
14 Au 0.045 0.045 0.601
15 Au 0.345 0.345 0.631
16 Au 0.645 0.645 0.659
17 Au 0.946 0.946 0.689
18 Au 0.246 0.246 0.718
19 Au 0.549 0.549 0.748
20 Au 0.867 0.867 0.780
21 Bi 0.827 0.827 0.191
22 Bi 0.173 0.173 0.809

# 19
Below is an optimized crystal structure of BiAu17, with properties calculated at the GGA-PBE level.

Space group: P-3m1, No. 164

Cell lengths 5.828, 5.828, 34.334 Å; angles 90.00, 90.00, 120.00 degrees
Atoms (fractional coordinates):
1 Au 0.500 0.000 0.219
2 Au 0.000 0.500 0.219
3 Au 0.500 0.500 0.219
4 Au 0.329 0.165 0.289
5 Au 0.835 0.165 0.289
6 Au 0.835 0.671 0.289
7 Au 0.333 0.667 0.290
8 Au 0.667 0.333 0.359
9 Au 0.166 0.332 0.360
10 Au 0.166 0.834 0.360
11 Au 0.668 0.834 0.360
12 Au 0.501 0.001 0.430
13 Au 0.501 0.499 0.430
14 Au 0.999 0.499 0.430
15 Au 0.000 0.000 0.430
16 Au 0.333 0.667 0.500
17 Au 0.333 0.167 0.500
18 Au 0.833 0.167 0.500
19 Au 0.833 0.667 0.500
20 Au 0.667 0.333 0.570
21 Au 0.166 0.332 0.570
22 Au 0.166 0.834 0.570
23 Au 0.668 0.834 0.570
24 Au 0.501 0.002 0.640
25 Au 0.501 0.499 0.640
26 Au 0.998 0.499 0.640
27 Au 0.000 0.000 0.642
28 Au 0.333 0.667 0.710
29 Au 0.337 0.169 0.711
30 Au 0.831 0.169 0.711
31 Au 0.831 0.663 0.711
32 Au 0.167 0.333 0.781
33 Au 0.167 0.833 0.781
34 Au 0.667 0.833 0.781
35 Bi 0.000 0.000 0.192
36 Bi 0.667 0.333 0.808

Number 1: total DFT energy (no corrections) -15.86 eV/cell. Number 2: total DFT energy (no corrections) -15.98 eV/cell. Number 3: total DFT energy (no corrections) -12.24 eV/cell. Number 4: total DFT energy (no corrections) -11.22 eV/cell. Number 5: total DFT energy (no corrections) -9.50 eV/cell. Number 6: total DFT energy (no corrections) -11.57 eV/cell. Number 7: total DFT energy (no corrections) -19.70 eV/cell. Number 8: total DFT energy (no corrections) -15.97 eV/cell. Number 9: total DFT energy (no corrections) -26.96 eV/cell. Number 10: total DFT energy (no corrections) -14.39 eV/cell. Number 11: total DFT energy (no corrections) -52.92 eV/cell. Number 12: total DFT energy (no corrections) -66.24 eV/cell. Number 13: total DFT energy (no corrections) -65.99 eV/cell. Number 14: total DFT energy (no corrections) -104.20 eV/cell. Number 15: total DFT energy (no corrections) -59.12 eV/cell. Number 16: total DFT energy (no corrections) -104.83 eV/cell. Number 17: total DFT energy (no corrections) -105.32 eV/cell. Number 18: total DFT energy (no corrections) -72.87 eV/cell. Number 19: total DFT energy (no corrections) -117.45 eV/cell.